No. 1
The following is a DFT calculation (GGA-PBE) of Mg2InSb2 after structural relaxation.

abc: 7.251 7.251 7.251
angles: 141.60 141.60 55.43
Atoms (fractional coordinates):
Mg1 0.250 0.750 0.500
Mg2 0.750 0.250 0.500
In1 0.000 0.000 0.000
Sb1 0.379 0.379 0.000
Sb2 0.621 0.621 0.000

Calculated values
The total energy comes out at -14.9 eV for the cell shown.

No. 2
The following is a DFT calculation (GGA-PBE) of MgIn2Sb after structural relaxation.

abc: 3.330 4.290 7.627
angles: 90.00 101.56 90.00
Atoms (fractional coordinates):
Mg1 0.000 0.000 0.000
In1 0.380 0.500 0.753
In2 0.762 0.000 0.511
Sb1 0.589 0.500 0.190

Calculated values
The value obtained for the energy above the lowest structure with this stoichiometry is 15.0 meV per atom.

No. 3
The following is a DFT calculation (GGA-PBE) of Mg8In2Sb after structural relaxation.

abc: 8.433 8.433 7.178
angles: 105.11 105.11 31.27
Atoms (fractional coordinates):
Mg1 0.045 0.045 0.226
Mg2 0.141 0.141 0.693
Mg3 0.319 0.319 0.587
Mg4 0.407 0.407 0.042
Mg5 0.593 0.593 0.958
Mg6 0.681 0.681 0.413
Mg7 0.859 0.859 0.307
Mg8 0.955 0.955 0.774
In1 0.223 0.223 0.148
In2 0.777 0.777 0.852
Sb1 0.500 0.500 0.500

Calculated values
The total energy comes out at -23.3 eV for the cell shown.

No. 4
The following is a DFT calculation (GGA-PBE) of MgIn2Sb3 after structural relaxation.

abc: 8.098 8.098 7.999
angles: 99.47 99.47 120.02
Atoms (fractional coordinates):
Mg1 0.083 0.917 0.500
Mg2 0.917 0.083 0.000
In1 0.249 0.749 0.996
In2 0.409 0.575 0.496
In3 0.575 0.409 0.996
In4 0.749 0.249 0.496
Sb1 0.039 0.203 0.375
Sb2 0.203 0.039 0.875
Sb3 0.373 0.874 0.377
Sb4 0.546 0.710 0.875
Sb5 0.710 0.546 0.375
Sb6 0.874 0.373 0.877

Calculated values
The total energy comes out at -39.9 eV for the cell shown.

No. 5
The following is a DFT calculation (GGA-PBE) of Mg7InSb6 after structural relaxation.

abc: 8.611 8.611 8.611
angles: 55.99 55.99 55.99
Atoms (fractional coordinates):
Mg1 0.000 0.000 0.000
Mg2 0.137 0.762 0.470
Mg3 0.210 0.533 0.904
Mg4 0.470 0.137 0.762
Mg5 0.533 0.904 0.210
Mg6 0.762 0.470 0.137
Mg7 0.904 0.210 0.533
In1 0.671 0.671 0.671
Sb1 0.066 0.400 0.773
Sb2 0.264 0.905 0.608
Sb3 0.400 0.773 0.066
Sb4 0.608 0.264 0.905
Sb5 0.773 0.066 0.400
Sb6 0.905 0.608 0.264

Calculated values
The total energy comes out at -41.7 eV for the cell shown.

No. 6
The following is a DFT calculation (GGA-PBE) of MgIn2Sb after structural relaxation.

abc: 4.457 4.457 5.259
angles: 90.00 90.00 90.00
Atoms (fractional coordinates):
Mg1 0.000 0.000 0.000
In1 0.000 0.500 0.500
In2 0.500 0.000 0.500
Sb1 0.500 0.500 0.000

Calculated values
The value obtained for the energy above the lowest structure with this stoichiometry is 16.4 meV per atom.

No. 7
The following is a DFT calculation (GGA-PBE) of MgIn2Sb after structural relaxation.

abc: 5.669 5.669 5.669
angles: 130.46 129.56 73.40
Atoms (fractional coordinates):
Mg1 0.000 0.000 0.000
In1 0.250 0.750 0.500
In2 0.501 0.501 0.000
Sb1 0.752 0.252 0.500

Calculated values
The value obtained for the energy above the lowest structure with this stoichiometry is 42.0 meV per atom.

No. 8
The following is a DFT calculation (GGA-PBE) of MgIn3Sb after structural relaxation.

abc: 5.419 5.419 5.419
angles: 90.00 90.00 90.00
Atoms (fractional coordinates):
Mg1 0.000 0.000 0.000
In1 0.000 0.000 0.500
In2 0.000 0.500 0.000
In3 0.500 0.000 0.000
Sb1 0.500 0.500 0.500

Calculated values
The value obtained for the energy above the lowest structure with this stoichiometry is 0.0 meV per atom.

No. 9
The following is a DFT calculation (GGA-PBE) of MgIn2Sb after structural relaxation.

abc: 5.303 5.303 5.303
angles: 60.00 60.00 60.00
Atoms (fractional coordinates):
Mg1 0.000 0.000 0.000
In1 0.500 0.500 0.500
In2 0.750 0.750 0.750
Sb1 0.250 0.250 0.250

Calculated values
The value obtained for the energy above the lowest structure with this stoichiometry is 66.6 meV per atom.

No. 10
The following is a DFT calculation (GGA-PBE) of MgIn2Sb2 after structural relaxation.

abc: 8.072 8.072 4.329
angles: 90.00 90.00 90.00
Atoms (fractional coordinates):
Mg1 0.000 0.000 0.000
Mg2 0.500 0.500 0.000
In1 0.144 0.356 0.500
In2 0.356 0.856 0.500
In3 0.644 0.144 0.500
In4 0.856 0.644 0.500
Sb1 0.161 0.661 0.000
Sb2 0.339 0.161 0.000
Sb3 0.661 0.839 0.000
Sb4 0.839 0.339 0.000

Calculated values
The value obtained for the energy above the lowest structure with this stoichiometry is 0.0 meV per atom.

No. 11
The following is a DFT calculation (GGA-PBE) of MgIn2Sb after structural relaxation.

abc: 6.105 6.105 5.656
angles: 107.18 107.18 31.02
Atoms (fractional coordinates):
Mg1 0.000 0.000 0.000
In1 0.257 0.257 0.757
In2 0.743 0.743 0.243
Sb1 0.500 0.500 0.500

Calculated values
The value obtained for the energy above the lowest structure with this stoichiometry is 43.1 meV per atom.

No. 12
The following is a DFT calculation (GGA-PBE) of MgIn2Sb2 after structural relaxation.

abc: 8.241 8.241 4.018
angles: 90.00 90.00 90.00
Atoms (fractional coordinates):
Mg1 0.000 0.000 0.000
Mg2 0.500 0.500 0.000
In1 0.139 0.361 0.000
In2 0.361 0.861 0.000
In3 0.639 0.139 0.000
In4 0.861 0.639 0.000
Sb1 0.160 0.660 0.500
Sb2 0.340 0.160 0.500
Sb3 0.660 0.840 0.500
Sb4 0.840 0.340 0.500

Calculated values
The value obtained for the energy above the lowest structure with this stoichiometry is 75.0 meV per atom.

Number 1: density 4.629 g/cm3. Number 2: density 5.845 g/cm3. Number 3: density 3.553 g/cm3. Number 4: density 4.796 g/cm3. Number 5: density 4.119 g/cm3. Number 6: density 5.972 g/cm3. Number 7: density 5.981 g/cm3. Number 8: density 5.120 g/cm3. Number 9: density 5.918 g/cm3. Number 10: density 5.858 g/cm3. Number 11: density 6.034 g/cm3. Number 12: density 6.055 g/cm3.